{
  "formula": "Rb2FeReO6",
  "functional": "PBE+U",
  "state": "relaxed",
  "final_energy_ev_per_cell": -63.27,
  "dos_at_fermi_per_ev_cell": 3.03,
  "lattice": [[4.9790, 0.0000, 0.0000], [0.0000, 6.2392, 0.0000], [0.0000, -3.1196, 5.4033]],
  "species": ["O", "O", "O", "O", "O", "O", "Fe", "Rb", "Rb", "Re"],
  "frac_coords": [[0.7539, 0.7260, 0.8630], [0.7539, 0.1370, 0.2740], [0.2461, 0.8630, 0.7260], [0.7539, 0.1370, 0.8630], [0.2461, 0.2740, 0.1370], [0.2461, 0.8630, 0.1370], [0.5000, 0.0000, 0.0000], [0.7095, 0.6667, 0.3333], [0.2905, 0.3333, 0.6667], [0.0000, 0.0000, 0.0000]]
}